PBE-GGA CsAlZn3, optimized geometry; formation energy = 1157.8 meV/atom; energy relative to the lowest polymorph listed for this composition = 89.7 kJ per mole of atoms
1.0
6.488 0.000 0.000
0.000 6.488 0.000
0.000 0.000 6.488
Cs Zn Al
1 3 1
direct
0.000 0.000 0.000 Cs
0.000 0.500 0.000 Zn
0.000 0.000 0.500 Zn
0.500 0.000 0.000 Zn
0.500 0.500 0.500 Al

---

PBE-GGA Ce2ErSb, optimized geometry; formation energy without anion corrections = -11.90 kcal/mol of atoms; energy relative to the lowest polymorph listed for this composition = 4.2 kJ per mole of atoms
1.0
-1.300 0.964 -4.839
-4.373 0.226 1.220
0.445 4.458 0.768
Sb Ce Er
1 2 1
direct
0.500 0.000 0.000 Sb
0.000 0.000 0.500 Ce
0.000 0.500 0.000 Ce
0.500 0.500 0.500 Er

---

PBE-GGA Mn2Zn2Pd, optimized geometry; formation energy = 279.2 meV/atom; energy relative to the lowest polymorph listed for this composition = 4.7 kJ per mole of atoms
1.0
-1.785 2.929 -0.056
-1.945 -1.135 2.588
2.606 3.709 5.858
Zn Mn Pd
2 2 1
direct
0.750 0.250 0.500 Zn
0.250 0.750 0.500 Zn
0.403 0.403 0.193 Mn
0.597 0.597 0.807 Mn
0.000 0.000 0.000 Pd

---

PBE-GGA Ag2MoCl, optimized geometry; formation energy without anion corrections = 8.61 kcal/mol of atoms; energy relative to the lowest polymorph listed for this composition = 25.1 kJ per mole of atoms
1.0
2.919 0.000 0.000
0.000 2.919 0.000
0.000 0.000 8.292
Ag Cl Mo
2 1 1
direct
0.000 0.000 0.000 Ag
0.000 0.000 0.500 Ag
0.500 0.500 0.250 Cl
0.500 0.500 0.750 Mo

---

PBE-GGA Fe4IrCl, optimized geometry; formation energy without anion corrections = 14.23 kcal/mol of atoms
1.0
0.000 3.471 3.471
3.471 0.000 3.471
3.471 3.471 0.000
Fe Ir Cl
4 1 1
direct
0.624 0.624 0.127 Fe
0.624 0.127 0.624 Fe
0.624 0.624 0.624 Fe
0.127 0.624 0.624 Fe
0.250 0.250 0.250 Ir
0.000 0.000 0.000 Cl

---

PBE-GGA KNpVS4, optimized geometry; formation energy without anion corrections = -26.89 kcal/mol of atoms
1.0
-5.952 -1.177 -2.333
1.927 -5.856 -1.961
0.200 -2.737 8.368
K Np V S
2 2 2 8
direct
0.728 0.750 0.936 K
0.272 0.250 0.064 K
0.773 0.750 0.448 Np
0.227 0.250 0.552 Np
0.224 0.750 0.328 V
0.776 0.250 0.672 V
0.010 0.510 0.709 S
0.990 0.010 0.291 S
0.990 0.490 0.291 S
0.010 0.990 0.709 S
0.432 0.750 0.171 S
0.568 0.250 0.829 S
0.431 0.750 0.576 S
0.569 0.250 0.424 S

---

PBE-GGA Sr3TiBe2O6, optimized geometry; formation energy without anion corrections = -60.21 kcal/mol of atoms
1.0
5.429 0.000 0.000
-2.715 4.702 0.000
0.000 0.000 6.690
Sr Ti Be O
3 1 2 6
direct
0.333 0.667 0.670 Sr
0.667 0.333 0.330 Sr
0.000 0.000 0.000 Sr
0.000 0.000 0.500 Ti
0.667 0.333 0.742 Be
0.333 0.667 0.258 Be
0.658 0.829 0.321 O
0.171 0.342 0.321 O
0.171 0.829 0.321 O
0.829 0.658 0.679 O
0.342 0.171 0.679 O
0.829 0.171 0.679 O

---

PBE-GGA TbHoZn4, optimized geometry; formation energy = -376.4 meV/atom; energy relative to the lowest polymorph listed for this composition = 0.0 kJ per mole of atoms
1.0
-3.057 1.956 2.645
-5.065 0.604 -2.488
-3.324 -3.713 2.716
Tb Ho Zn
1 1 4
direct
0.000 0.500 0.500 Tb
0.000 0.000 0.000 Ho
0.667 0.583 0.084 Zn
0.333 0.916 0.417 Zn
0.333 0.417 0.916 Zn
0.667 0.084 0.583 Zn

---

PBE-GGA KRbIn2, optimized geometry; formation energy = 125.7 meV/atom; energy relative to the lowest polymorph listed for this composition = 21.4 kJ per mole of atoms
1.0
0.000 4.331 4.331
4.331 0.000 4.331
4.331 4.331 0.000
K Rb In
1 1 2
direct
0.000 0.000 0.000 K
0.500 0.500 0.500 Rb
0.250 0.250 0.250 In
0.750 0.750 0.750 In

---

PBE-GGA CaMg2Re, optimized geometry; formation energy = 935.9 meV/atom; energy relative to the lowest polymorph listed for this composition = 50.8 kJ per mole of atoms
1.0
-2.557 3.265 1.238
1.023 -0.767 4.134
6.966 7.585 1.948
Re Ca Mg
2 2 4
direct
0.000 0.000 0.000 Re
0.750 0.250 0.500 Re
0.500 0.500 0.000 Ca
0.250 0.750 0.500 Ca
0.675 0.125 0.250 Mg
0.075 0.625 0.250 Mg
0.375 0.325 0.750 Mg
0.875 0.925 0.750 Mg

---

PBE-GGA Ag2BiPd8, optimized geometry; formation energy = -115.4 meV/atom; energy relative to the lowest polymorph listed for this composition = 0.0 kJ per mole of atoms
1.0
4.112 0.000 0.000
0.000 6.278 0.375
-2.056 -2.192 6.930
Ag Bi Pd
2 1 8
direct
0.773 0.362 0.547 Ag
0.227 0.638 0.453 Ag
0.500 0.000 0.000 Bi
0.409 0.542 0.819 Pd
0.682 0.910 0.365 Pd
0.861 0.817 0.722 Pd
0.955 0.278 0.910 Pd
0.139 0.183 0.278 Pd
0.318 0.090 0.635 Pd
0.591 0.458 0.181 Pd
0.045 0.722 0.090 Pd

---

PBE-GGA Al4InNi5, optimized geometry; formation energy = -539.2 meV/atom
1.0
-0.038 -1.464 -2.560
2.867 -0.617 0.310
-3.441 -12.408 7.150
Al In Ni
4 1 5
direct
0.000 0.000 0.214 Al
0.000 0.000 0.405 Al
0.000 0.000 0.595 Al
0.000 0.000 0.786 Al
0.000 0.000 0.000 In
0.500 0.500 0.123 Ni
0.500 0.500 0.310 Ni
0.500 0.500 0.500 Ni
0.500 0.500 0.690 Ni
0.500 0.500 0.877 Ni

---

Respective DOS(E_F) values: 6.9; 9.5; 2.8; 2.6; 4.5; 19.9; 2.2; 4.8; 3.6; 12.3; 9.2; 5.4 states/eV per cell.
Respective mass density values: 2.16; 8.96; 7.00; 8.16; 8.96; 4.29; 4.13; 8.01; 3.62; 4.86; 11.62; 6.69 g cm⁻³.